Below is a relaxed structure of Ba2NaMgSe, with properties calculated at the PBE level.

Properties
As for the raw formation energy: 12 kJ/mol of formula units. As for the total magnetic moment: 0.000 μB per cell.

abc: 6.4906 6.4906 5.1783
angles: 90.00 90.00 90.00
Space group P4/mmm (No. 123)
Asymmetric unit:
Ba1 0.0000 0.5000 0.0000 (multiplicity 2)
Na1 0.0000 0.0000 0.0000 (multiplicity 1)
Mg1 0.0000 0.0000 0.5000 (multiplicity 1)
Se1 0.5000 0.5000 0.5000 (multiplicity 1)

Below is a relaxed structure of ZrScSe, with properties calculated at the PBE level.

Properties
As for the raw formation energy: -259 kJ/mol of formula units. As for the total magnetic moment: 0.000 μB per cell. The value obtained for the energy relative to the lowest polymorph listed for this composition is 117 meV/atom.

abc: 8.7617 6.3802 6.0807
angles: 90.00 133.33 90.00
Space group Cc (No. 9)
Asymmetric unit:
Zr1 0.0000 0.1595 0.0000 (multiplicity 4)
Sc1 0.1781 0.3422 0.6443 (multiplicity 4)
Se1 0.3370 0.0252 0.0664 (multiplicity 4)

Below is a relaxed structure of InRuPb, with properties calculated at the PBE level.

Properties
As for the total magnetic moment: 0.011 μB per cell. The value obtained for the energy relative to the lowest polymorph listed for this composition is 13 meV/atom. The calculation puts the formation energy at 0.142 eV per atom.

abc: 5.9173 6.5833 6.5751
angles: 90.00 90.00 90.00
Space group Ima2 (No. 46)
Asymmetric unit:
In1 0.2500 0.1779 0.0000 (multiplicity 4)
Ru1 0.0000 0.0000 0.6830 (multiplicity 4)
Pb1 0.2500 0.6671 0.8417 (multiplicity 4)